*A*
Re3SnN | PBE | optimized geometry

Unit cell a=4.8480 b=4.8480 c=4.8480 alpha=90.00 beta=90.00 gamma=90.00
Closest atoms and distances in Å follow each position.
Atoms (fractional coordinates):
Sn 0.0000 0.0000 0.0000  6 Re 2.42
Re 0.5000 0.0000 0.0000  2 Sn 2.42
Re 0.0000 0.5000 0.0000  2 Sn 2.42
Re 0.0000 0.0000 0.5000  2 Sn 2.42
N 0.5000 0.5000 0.5000  12 Re 3.43

Computed properties:
Magnetic moment = 0.1 μB per formula unit


*B*
Re3SnN | PBE | optimized geometry

Unit cell a=4.1532 b=4.1532 c=4.1532 alpha=90.00 beta=90.00 gamma=90.00
Closest atoms and distances in Å follow each position.
Atoms (fractional coordinates):
Re 0.0000 0.5000 0.0000  2 N 2.08
Re 0.5000 0.0000 0.0000  2 N 2.08
N 0.0000 0.0000 0.0000  6 Re 2.08
Sn 0.5000 0.5000 0.5000  12 Re 2.94
Re 0.0000 0.0000 0.5000  2 N 2.08

Computed properties:
Magnetic moment = 1.1 μB per formula unit


Relative stability in eV/atom, measured from the most stable structure: *A* 3.636; *B* 0.000


*A*
SrReN2 | PBE | optimized geometry

Unit cell a=6.9648 b=6.9648 c=6.9648 alpha=29.15 beta=29.15 gamma=29.15
Closest atoms and distances in Å follow each position.
Atoms (fractional coordinates):
Re 0.0000 0.0000 0.0000  2 N 1.83
N 0.0915 0.0915 0.0915  1 Re 1.83
N 0.9085 0.9085 0.9085  1 Re 1.83
Sr 0.5000 0.5000 0.5000  6 N 2.52

Computed properties:
Magnetic moment = 0.0 μB per formula unit


*B*
SrReN2 | PBE | optimized geometry

Unit cell a=6.9160 b=7.4080 c=5.1357 alpha=90.00 beta=111.80 gamma=90.00
Closest atoms and distances in Å follow each position.
Atoms (fractional coordinates):
Sr 0.6697 0.4111 0.8348  7 N 2.53-2.82
N 0.8201 0.4042 0.4100  2 Re 1.89-2.11
Re 0.8596 0.6567 0.4298  4 N 1.89-2.11
Sr 0.3303 0.9111 0.6652  7 N 2.53-2.82
N 0.1799 0.9042 0.0900  2 Re 1.89-2.11
N 0.1799 0.5958 0.5900  2 Re 1.89-2.11
N 0.3462 0.2501 0.4231  2 Re 1.97
N 0.6538 0.7501 0.0769  2 Re 1.97
Sr 0.3303 0.5889 0.1652  7 N 2.53-2.82
Re 0.1404 0.1567 0.0702  4 N 1.89-2.11
Re 0.1404 0.3433 0.5702  4 N 1.89-2.11
N 0.8201 0.0958 0.9100  2 Re 1.89-2.11
N 0.3462 0.2499 0.9231  2 Re 1.97
N 0.6538 0.7499 0.5769  2 Re 1.97
Sr 0.6697 0.0889 0.3348  7 N 2.53-2.82
Re 0.8596 0.8433 0.9298  4 N 1.89-2.11

Computed properties:
Magnetic moment = 0.0 μB per formula unit


*C*
SrReN2 | PBE | optimized geometry

Unit cell a=5.0409 b=5.0409 c=6.3857 alpha=66.75 beta=66.75 gamma=90.00
Closest atoms and distances in Å follow each position.
Atoms (fractional coordinates):
N 0.8750 0.0055 0.7500  2 Re 1.92
Re 0.7500 0.2500 0.5000  4 N 1.92
N 0.3750 0.2445 0.7500  2 Re 1.92
Re 0.0000 0.0000 0.0000  4 N 1.92
N 0.9945 0.6250 0.2500  2 Re 1.92
Sr 0.5000 0.5000 0.0000  4 N 2.65
Sr 0.2500 0.7500 0.5000  4 N 2.65
N 0.7555 0.1250 0.2500  2 Re 1.92

Computed properties:
Magnetic moment = 0.0 μB per formula unit


*D*
SrReN2 | PBE | optimized geometry

Unit cell a=6.7477 b=6.7477 c=6.7477 alpha=28.66 beta=28.66 gamma=28.66
Closest atoms and distances in Å follow each position.
Atoms (fractional coordinates):
Re 0.5000 0.5000 0.5000  6 N 2.10
Sr 0.0000 0.0000 0.0000  2 N 2.40
N 0.8762 0.8762 0.8762  3 Re 2.10
N 0.1238 0.1238 0.1238  3 Re 2.10

Computed properties:
Magnetic moment = 0.6 μB per formula unit


Relative stability in eV/atom, measured from the most stable structure: *A* 0.831; *B* 0.000; *C* 0.153; *D* 0.911


*A*
SrReN2 | PBE | optimized geometry

Unit cell a=4.0934 b=4.0934 c=4.0934 alpha=60.00 beta=60.00 gamma=60.00
Closest atoms and distances in Å follow each position.
Atoms (fractional coordinates):
N 0.7500 0.7500 0.7500  4 Re 2.51, 4 Sr 2.51
Re 0.5000 0.5000 0.5000  8 N 2.51
Sr 0.0000 0.0000 0.0000  8 N 2.51
N 0.2500 0.2500 0.2500  4 Re 2.51, 4 Sr 2.51

Computed properties:
Magnetic moment = 0.0 μB per formula unit


*B*
SrReN2 | PBE | optimized geometry

Unit cell a=5.3958 b=5.3958 c=5.3958 alpha=94.50 beta=117.43 gamma=117.44
Closest atoms and distances in Å follow each position.
Atoms (fractional coordinates):
Sr 0.5000 0.7500 0.2500  8 N 2.70
N 0.4999 0.2500 0.2499  2 Re 1.98
N 0.5001 0.7500 0.7501  2 Re 1.98
Sr 0.5000 0.2500 0.7500  8 N 2.70
Re 0.0000 0.5000 0.5000  4 N 1.98
N 0.9999 0.2500 0.7499  2 Re 1.98
Re 0.0000 0.0000 0.0000  4 N 1.98
N 0.0001 0.7500 0.2501  2 Re 1.98

Computed properties:
Magnetic moment = 0.0 μB per formula unit


Relative stability in eV/atom, measured from the most stable structure: *A* 1.493; *B* 0.000


*A*
SrReTe2N | PBE | optimized geometry

Unit cell a=6.1540 b=6.1540 c=4.6994 alpha=90.00 beta=90.00 gamma=90.00
Closest atoms and distances in Å follow each position.
Atoms (fractional coordinates):
Re 0.5000 0.5000 0.5000  8 Te 3.87
Te 0.0000 0.5000 0.0000  2 Sr 3.08
Te 0.5000 0.0000 0.0000  2 Sr 3.08
Sr 0.0000 0.0000 0.0000  2 N 2.35
N 0.0000 0.0000 0.5000  2 Sr 2.35

Computed properties:
Magnetic moment = 6.8 μB per formula unit


*B*
SrReTe2N | PBE | optimized geometry

Unit cell a=5.6679 b=5.6679 c=3.8158 alpha=90.00 beta=90.00 gamma=90.00
Closest atoms and distances in Å follow each position.
Atoms (fractional coordinates):
Re 0.0000 0.0000 0.0000  2 N 1.91
Te 0.5000 0.0000 0.0000  2 Re 2.83
N 0.0000 0.0000 0.5000  2 Re 1.91
Sr 0.5000 0.5000 0.5000  8 Te 3.42, 2 Sr 3.82
Te 0.0000 0.5000 0.0000  2 Re 2.83

Computed properties:
Magnetic moment = 0.8 μB per formula unit


Relative stability in eV/atom, measured from the most stable structure: *A* 2.110; *B* 0.000


*A*
TaReN2 | PBE | optimized geometry

Unit cell a=6.6378 b=6.6378 c=6.6378 alpha=26.03 beta=26.03 gamma=26.03
Closest atoms and distances in Å follow each position.
Atoms (fractional coordinates):
Re 0.0000 0.0000 0.0000  2 N 2.00
Ta 0.5000 0.5000 0.5000  6 N 2.11
N 0.1038 0.1038 0.1038  1 Re 2.00, 3 Ta 2.11
N 0.8962 0.8962 0.8962  1 Re 2.00, 3 Ta 2.11

Computed properties:
Magnetic moment = 0.0 μB per formula unit


*B*
TaReN2 | PBE | optimized geometry

Unit cell a=4.2616 b=4.2616 c=6.3043 alpha=70.25 beta=70.25 gamma=90.00
Closest atoms and distances in Å follow each position.
Atoms (fractional coordinates):
Re 0.0000 0.0000 0.0000  4 N 2.01
N 0.3750 0.3604 0.7500  2 Re 2.01, 2 Ta 2.08
Re 0.7500 0.2500 0.5000  4 N 2.01
N 0.6396 0.1250 0.2500  2 Re 2.01, 2 Ta 2.08
N 0.1104 0.6250 0.2500  2 Re 2.01, 2 Ta 2.08
Ta 0.5000 0.5000 0.0000  4 N 2.08
Ta 0.2500 0.7500 0.5000  4 N 2.08
N 0.8750 0.8896 0.7500  2 Re 2.01, 2 Ta 2.08

Computed properties:
Magnetic moment = 0.0 μB per formula unit


Relative stability in eV/atom, measured from the most stable structure: *A* 0.000; *B* 0.069


*A*
Ta3ReN | PBE | optimized geometry

Unit cell a=4.8259 b=4.8259 c=4.8259 alpha=90.00 beta=90.00 gamma=90.00
Closest atoms and distances in Å follow each position.
Atoms (fractional coordinates):
Ta 0.5000 0.0000 0.0000  2 Re 2.41
Ta 0.0000 0.0000 0.5000  2 Re 2.41
Ta 0.0000 0.5000 0.0000  2 Re 2.41
Re 0.0000 0.0000 0.0000  6 Ta 2.41
N 0.5000 0.5000 0.5000  12 Ta 3.41

Computed properties:
Magnetic moment = 0.0 μB per formula unit


*B*
Ta3ReN | PBE | optimized geometry

Unit cell a=4.2318 b=4.2318 c=4.2318 alpha=90.00 beta=90.00 gamma=90.00
Closest atoms and distances in Å follow each position.
Atoms (fractional coordinates):
Ta 0.0000 0.5000 0.0000  2 N 2.12
N 0.0000 0.0000 0.0000  6 Ta 2.12
Ta 0.0000 0.0000 0.5000  2 N 2.12
Re 0.5000 0.5000 0.5000  12 Ta 2.99
Ta 0.5000 0.0000 0.0000  2 N 2.12

Computed properties:
Magnetic moment = 0.0 μB per formula unit


Relative stability in eV/atom, measured from the most stable structure: *A* 2.682; *B* 0.000


*A*
Tb2ReN4 | PBE | optimized geometry

Unit cell a=6.6150 b=6.6150 c=6.6144 alpha=59.98 beta=59.98 gamma=89.99
Closest atoms and distances in Å follow each position.
Atoms (fractional coordinates):
Re 0.8750 0.6250 0.7500  4 N 1.85
Tb 0.5000 0.0000 0.0000  6 N 2.44
Tb 0.5000 0.0000 0.5000  6 N 2.44
N 0.2396 0.7185 0.0205  1 Re 1.85
Re 0.1250 0.3750 0.2500  4 N 1.85
Tb 0.0000 0.0000 0.0000  6 N 2.44
N 0.7601 0.7388 0.9795  1 Re 1.85
N 0.2185 0.7396 0.5205  1 Re 1.85
N 0.2388 0.2601 0.4795  1 Re 1.85
N 0.7612 0.7399 0.5205  1 Re 1.85
N 0.7815 0.2604 0.4795  1 Re 1.85
N 0.7604 0.2815 0.9795  1 Re 1.85
Tb 0.5000 0.5000 0.5000  6 N 2.44
N 0.2399 0.2612 0.0205  1 Re 1.85

Computed properties:
Magnetic moment = 0.0 μB per formula unit


*B*
Tb2ReN4 | PBE | optimized geometry

Unit cell a=5.8654 b=5.8628 c=6.5224 alpha=90.00 beta=107.67 gamma=90.00
Closest atoms and distances in Å follow each position.
Atoms (fractional coordinates):
N 0.0215 0.7500 0.3618  1 Re 1.82
N 0.9785 0.2500 0.6382  1 Re 1.82
Tb 0.6724 0.7500 0.0360  6 N 2.35-2.54
N 0.4533 0.5154 0.2453  1 Re 1.92
N 0.5467 0.0154 0.7547  1 Re 1.92
N 0.0314 0.7500 0.9083  1 Re 1.81
N 0.4533 0.9846 0.2453  1 Re 1.92
Tb 0.7393 0.7500 0.5580  6 N 2.38-2.61
N 0.5467 0.4846 0.7547  1 Re 1.92
Re 0.7872 0.2500 0.8126  4 N 1.81-1.92
Tb 0.3276 0.2500 0.9640  6 N 2.35-2.54
Re 0.2128 0.7500 0.1874  4 N 1.81-1.92
N 0.9686 0.2500 0.0917  1 Re 1.81
Tb 0.2607 0.2500 0.4420  6 N 2.38-2.61

Computed properties:
Magnetic moment = 0.0 μB per formula unit


Relative stability in eV/atom, measured from the most stable structure: *A* 0.066; *B* 0.000


*A*
TbReN2 | PBE | optimized geometry

Unit cell a=3.2966 b=3.9552 c=3.9552 alpha=90.00 beta=90.00 gamma=90.00
Closest atoms and distances in Å follow each position.
Atoms (fractional coordinates):
Re 0.0000 0.0000 0.0000  4 N 1.98
N 0.0000 0.5000 0.0000  2 Re 1.98
Tb 0.5000 0.5000 0.5000  8 N 2.57
N 0.0000 0.0000 0.5000  2 Re 1.98

Computed properties:
Magnetic moment = 0.0 μB per formula unit


*B*
TbReN2 | PBE | optimized geometry

Unit cell a=3.1582 b=3.1582 c=6.9074 alpha=76.78 beta=76.78 gamma=60.00
Closest atoms and distances in Å follow each position.
Atoms (fractional coordinates):
Tb 0.0000 0.0000 0.0000  2 N 2.28
N 0.8859 0.8859 0.3424  3 Re 2.10, 1 Tb 2.28
N 0.1141 0.1141 0.6576  3 Re 2.10, 1 Tb 2.28
Re 0.5000 0.5000 0.5000  6 N 2.10

Computed properties:
Magnetic moment = 0.0 μB per formula unit


Relative stability in eV/atom, measured from the most stable structure: *A* 0.000; *B* 1.048